The following is a GGA-PBE calculation of crystalline Cd4AgAu2 at its relaxed geometry, from Alexandria via LeMat-Bulk.

```
Cd4AgAu2
1.0
2.3879 1.3786 7.4893
-2.3879 1.3786 7.4893
0.0000 -2.7573 7.4893
Cd Ag Au
4 1 2
direct
0.1165 0.1165 0.1165 Cd
0.3711 0.3711 0.3711 Cd
0.6289 0.6289 0.6289 Cd
0.8835 0.8835 0.8835 Cd
0.5000 0.5000 0.5000 Ag
0.2473 0.2473 0.2473 Au
0.7527 0.7527 0.7527 Au
```

## Properties
* V: 148 Å³/cell
* energy of formation from the pure elements: -1.0 eV/f.u.
* energy above the lowest structure with this stoichiometry: 0.000 eV per atom

The following is a GGA-PBE calculation of crystalline Cd3Ag4Au4 at its relaxed geometry, from Alexandria via LeMat-Bulk.

```
Cd3Ag4Au4
1.0
3.0491 0.0000 0.0000
-0.0015 4.1560 0.0000
-1.2600 -1.9951 16.2068
Cd Ag Au
3 4 4
direct
0.0000 0.0000 0.0000 Cd
0.3638 0.3638 0.7261 Cd
0.6362 0.6362 0.2739 Cd
0.0921 0.0893 0.1817 Ag
0.2712 0.2718 0.5439 Ag
0.7288 0.7282 0.4561 Ag
0.9079 0.9107 0.8183 Ag
0.1815 0.1826 0.3647 Au
0.4538 0.4550 0.9077 Au
0.5462 0.5450 0.0923 Au
0.8185 0.8174 0.6353 Au
```

## Properties
* V: 205 Å³/cell
* energy of formation from the pure elements: -1.1 eV/f.u.

The following is a GGA-PBE calculation of crystalline CdAg3Au7 at its relaxed geometry, from Alexandria via LeMat-Bulk.

```
CdAg3Au7
1.0
5.8700 0.0000 0.0000
-2.9350 5.0836 0.0000
0.0000 0.0000 7.0827
Cd Ag Au
1 3 7
direct
0.0000 0.0000 0.0000 Cd
0.3334 0.1667 0.3361 Ag
0.8333 0.1667 0.3361 Ag
0.8333 0.6666 0.3361 Ag
0.0051 0.5026 0.0113 Au
0.1691 0.3381 0.6615 Au
0.1691 0.8309 0.6615 Au
0.4974 0.5026 0.0113 Au
0.4974 0.9949 0.0113 Au
0.6619 0.8309 0.6615 Au
0.6667 0.3333 0.6669 Au
```

## Properties
* V: 211 Å³/cell
* energy of formation from the pure elements: -0.1 eV/f.u.

The following is a GGA-PBE calculation of crystalline Cd3Ag7Au at its relaxed geometry, from Alexandria via LeMat-Bulk.

```
Cd3Ag7Au
1.0
1.5580 -11.6512 0.0000
1.5580 11.6512 0.0000
0.0000 0.0000 11.6759
Cd Ag Au
6 14 2
direct
0.0865 0.9135 0.5268 Cd
0.0865 0.9135 0.9732 Cd
0.2489 0.7511 0.2500 Cd
0.7511 0.2489 0.7500 Cd
0.9135 0.0865 0.0268 Cd
0.9135 0.0865 0.4732 Cd
0.2068 0.7932 0.5679 Ag
0.2068 0.7932 0.9321 Ag
0.3350 0.6650 0.6198 Ag
0.3350 0.6650 0.8802 Ag
0.3814 0.6186 0.2500 Ag
0.4975 0.5025 0.6270 Ag
0.4975 0.5025 0.8730 Ag
0.5025 0.4975 0.1270 Ag
0.5025 0.4975 0.3730 Ag
0.6186 0.3814 0.7500 Ag
0.6650 0.3350 0.1198 Ag
0.6650 0.3350 0.3802 Ag
0.7932 0.2068 0.0679 Ag
0.7932 0.2068 0.4321 Ag
0.0847 0.9153 0.2500 Au
0.9153 0.0847 0.7500 Au
```

## Properties
* V: 424 Å³/cell
* energy of formation from the pure elements: 0.1 eV/f.u.
* energy above the lowest structure with this stoichiometry: 0.000 eV per atom

The following is a GGA-PBE calculation of crystalline CdAgAu5 at its relaxed geometry, from Alexandria via LeMat-Bulk.

```
CdAgAu5
1.0
2.8287 -4.3168 0.0000
2.8287 4.3168 0.0000
0.0000 0.0000 5.7288
Cd Ag Au
1 1 5
direct
0.0000 0.0000 0.0000 Cd
0.5000 0.5000 0.5000 Ag
0.0000 0.0000 0.5000 Au
0.0000 0.5000 0.2462 Au
0.0000 0.5000 0.7538 Au
0.5000 0.0000 0.2462 Au
0.5000 0.0000 0.7538 Au
```

## Properties
* V: 140 Å³/cell
* energy of formation from the pure elements: -0.3 eV/f.u.
* energy above the lowest structure with this stoichiometry: 0.000 eV per atom

The following is a GGA-PBE calculation of crystalline Cd2Ag3Au2 at its relaxed geometry, from Alexandria via LeMat-Bulk.

```
Cd2Ag3Au2
1.0
2.9713 0.0000 0.0000
-1.4367 6.9658 0.0000
-0.2391 -3.4500 6.4581
Cd Ag Au
2 3 2
direct
0.1536 0.2706 0.3229 Cd
0.8464 0.7294 0.6771 Cd
0.1815 0.4044 0.7699 Ag
0.5000 0.0000 0.5000 Ag
0.8185 0.5956 0.2301 Ag
0.4397 0.8443 0.0723 Au
0.5603 0.1557 0.9277 Au
```

## Properties
* V: 134 Å³/cell
* energy of formation from the pure elements: -0.4 eV/f.u.
* energy above the lowest structure with this stoichiometry: 0.048 eV per atom

The following is a GGA-PBE calculation of crystalline Cd5Ag2Au4 at its relaxed geometry, from Alexandria via LeMat-Bulk.

```
Cd5Ag2Au4
1.0
5.6738 0.0000 0.0000
0.0000 16.6009 0.0000
0.0000 0.0000 4.6190
Cd Ag Au
10 4 8
direct
0.0000 0.0000 0.0000 Cd
0.0427 0.3975 0.0000 Cd
0.0686 0.1997 0.0000 Cd
0.4314 0.6997 0.0000 Cd
0.4573 0.8975 0.0000 Cd
0.5000 0.5000 0.0000 Cd
0.5427 0.1025 0.0000 Cd
0.5686 0.3003 0.0000 Cd
0.9314 0.8003 0.0000 Cd
0.9573 0.6025 0.0000 Cd
0.1019 0.7074 0.5000 Ag
0.3981 0.2074 0.5000 Ag
0.6019 0.7926 0.5000 Ag
0.8981 0.2926 0.5000 Ag
0.1445 0.8777 0.5000 Au
0.2110 0.5409 0.5000 Au
0.2890 0.0409 0.5000 Au
0.3555 0.3777 0.5000 Au
0.6445 0.6223 0.5000 Au
0.7110 0.9591 0.5000 Au
0.7890 0.4591 0.5000 Au
0.8555 0.1223 0.5000 Au
```

## Properties
* V: 435 Å³/cell
* energy of formation from the pure elements: -1.2 eV/f.u.
* energy above the lowest structure with this stoichiometry: 0.000 eV per atom

The following is a GGA-PBE calculation of crystalline Cd3AgAu12 at its relaxed geometry, from Alexandria via LeMat-Bulk.

```
Cd3AgAu12
1.0
4.2417 0.0000 0.0000
0.0000 4.2417 0.0000
0.0000 0.0000 16.4051
Cd Ag Au
3 1 12
direct
0.0000 0.0000 0.0000 Cd
0.0000 0.0000 0.2521 Cd
0.0000 0.0000 0.7479 Cd
0.0000 0.0000 0.5000 Ag
0.0000 0.5000 0.1256 Au
0.0000 0.5000 0.3769 Au
0.0000 0.5000 0.6231 Au
0.0000 0.5000 0.8744 Au
0.5000 0.0000 0.1256 Au
0.5000 0.0000 0.3769 Au
0.5000 0.0000 0.6231 Au
0.5000 0.0000 0.8744 Au
0.5000 0.5000 0.0000 Au
0.5000 0.5000 0.2512 Au
0.5000 0.5000 0.5000 Au
0.5000 0.5000 0.7488 Au
```

## Properties
* V: 295 Å³/cell
* energy of formation from the pure elements: -1.6 eV/f.u.